DFT (GGA-PBEsol) results for crystalline Co3OF5 at its relaxed geometry.

Unit cell a=5.460 b=5.488 c=7.274 alpha=71.70 beta=71.37 gamma=70.56
Positions (direct):
Co  0.000  0.000  0.000
Co  0.000  0.000  0.500
Co  0.377  0.300  0.162
Co  0.325  0.317  0.677
Co  0.675  0.683  0.323
Co  0.623  0.700  0.838
O  0.663  0.017  0.162
O  0.337  0.983  0.838
F  0.700  0.312  0.495
F  0.062  0.611  0.166
F  0.112  0.089  0.198
F  0.756  0.776  0.534
F  0.428  0.432  0.865
F  0.244  0.224  0.466
F  0.888  0.911  0.802
F  0.572  0.568  0.135
F  0.300  0.688  0.505
F  0.938  0.389  0.834

formation energy from raw total energies: -1.511 eV per atom
energy above the most stable polymorph in this dataset: 18 meV/atom
symmetry: No. 2

=====

DFT (GGA-PBEsol) results for crystalline KCu2Br at its relaxed geometry.

Unit cell a=3.472 b=3.472 c=7.201 alpha=90.00 beta=90.00 gamma=90.00
Positions (direct):
Br  0.500  0.500  0.777
Cu  0.000  0.000  0.086
Cu  0.500  0.500  0.125
K  0.000  0.000  0.512

formation energy from raw total energies: -0.059 eV per atom
symmetry: No. 99

=====

DFT (GGA-PBEsol) results for crystalline FeTc at its relaxed geometry.

Unit cell a=4.105 b=4.503 c=5.145 alpha=90.00 beta=90.00 gamma=90.00
Positions (direct):
Fe  0.750  0.421  0.876
Fe  0.250  0.079  0.376
Fe  0.750  0.921  0.624
Fe  0.250  0.579  0.124
Tc  0.750  0.404  0.377
Tc  0.250  0.096  0.877
Tc  0.750  0.904  0.123
Tc  0.250  0.596  0.623

energy relative to the elements: -0.01 eV per atom
symmetry: No. 62

=====

DFT (GGA-PBEsol) results for crystalline BaTl2Ag at its relaxed geometry.

Unit cell a=4.802 b=4.806 c=6.647 alpha=111.12 beta=90.00 gamma=119.97
Positions (direct):
Tl  0.784  0.568  0.852
Tl  0.216  0.432  0.148
Ba  0.000  0.000  0.500
Ag  0.500  0.000  0.000

energy relative to the elements: -0.24 eV per atom
energy above the most stable polymorph in this dataset: 5 meV/atom
symmetry: No. 12

=====

DFT (GGA-PBEsol) results for crystalline Mg6Ni16Ge7 at its relaxed geometry.

Unit cell a=8.052 b=8.052 c=8.052 alpha=60.00 beta=60.00 gamma=60.00
Positions (direct):
Mg  0.796  0.796  0.204
Mg  0.204  0.796  0.796
Mg  0.796  0.204  0.204
Mg  0.796  0.204  0.796
Mg  0.204  0.796  0.204
Mg  0.204  0.204  0.796
Ni  0.831  0.831  0.508
Ni  0.169  0.492  0.169
Ni  0.169  0.169  0.169
Ni  0.492  0.169  0.169
Ni  0.831  0.831  0.831
Ni  0.508  0.831  0.831
Ni  0.831  0.508  0.831
Ni  0.169  0.169  0.492
Ni  0.618  0.618  0.145
Ni  0.382  0.855  0.382
Ni  0.382  0.382  0.382
Ni  0.855  0.382  0.382
Ni  0.618  0.618  0.618
Ni  0.145  0.618  0.618
Ni  0.618  0.145  0.618
Ni  0.382  0.382  0.855
Ge  0.500  0.500  0.500
Ge  0.000  0.000  0.500
Ge  0.000  0.500  0.500
Ge  0.500  0.000  0.000
Ge  0.500  0.500  0.000
Ge  0.500  0.000  0.500
Ge  0.000  0.500  0.000

energy relative to the elements: -0.42 eV per atom
symmetry: No. 225

=====

DFT (GGA-PBEsol) results for crystalline CeAlPt at its relaxed geometry.

Unit cell a=4.389 b=7.138 c=7.921 alpha=90.00 beta=90.00 gamma=90.00
Positions (direct):
Ce  0.250  0.525  0.186
Ce  0.750  0.975  0.686
Ce  0.250  0.025  0.314
Ce  0.750  0.475  0.814
Al  0.750  0.351  0.432
Al  0.750  0.851  0.068
Al  0.250  0.649  0.568
Al  0.250  0.149  0.932
Pt  0.750  0.223  0.107
Pt  0.750  0.723  0.393
Pt  0.250  0.277  0.607
Pt  0.250  0.777  0.893

energy relative to the elements: -0.96 eV per atom
symmetry: No. 62

=====

DFT (GGA-PBEsol) results for crystalline CoCu2Te at its relaxed geometry.

Unit cell a=3.824 b=3.824 c=4.566 alpha=114.75 beta=114.75 gamma=90.00
Positions (direct):
Co  0.750  0.250  0.500
Cu  0.000  0.000  0.000
Cu  0.250  0.750  0.500
Te  0.500  0.500  0.000

formation energy from raw total energies: 0.221 eV per atom
symmetry: No. 119

=====

DFT (GGA-PBEsol) results for crystalline TaAl2Se at its relaxed geometry.

Unit cell a=3.138 b=4.597 c=5.437 alpha=114.08 beta=105.49 gamma=92.92
Positions (direct):
Al  0.000  0.000  0.500
Al  0.500  0.500  0.500
Se  0.500  0.000  0.000
Ta  0.000  0.500  0.000

formation energy from raw total energies: 0.044 eV per atom
symmetry: No. 12

=====

DFT (GGA-PBEsol) results for crystalline LiFePt2 at its relaxed geometry.

Unit cell a=2.697 b=4.478 c=4.706 alpha=99.46 beta=106.65 gamma=90.00
Positions (direct):
Fe  0.491  0.469  0.982
Pt  0.005  0.966  0.010
Pt  0.749  0.286  0.498
Li  0.255  0.780  0.510

energy relative to the elements: -0.28 eV per atom
symmetry: No. 8

=====

DFT (GGA-PBEsol) results for crystalline MgCd2In at its relaxed geometry.

Unit cell a=3.301 b=3.301 c=9.590 alpha=80.39 beta=80.39 gamma=60.03
Positions (direct):
Mg  0.252  0.252  0.244
Cd  0.000  0.000  0.000
Cd  0.748  0.748  0.756
In  0.501  0.501  0.500

energy relative to the elements: -0.04 eV per atom
symmetry: No. 8

=====

DFT (GGA-PBEsol) results for crystalline MnNb2B2 at its relaxed geometry.

Unit cell a=3.292 b=5.814 c=5.814 alpha=90.00 beta=90.00 gamma=90.00
Positions (direct):
Nb  0.500  0.180  0.680
Nb  0.500  0.680  0.820
Nb  0.500  0.820  0.320
Nb  0.500  0.320  0.180
Mn  0.000  0.000  0.000
Mn  0.000  0.500  0.500
B  0.000  0.387  0.887
B  0.000  0.887  0.613
B  0.000  0.613  0.113
B  0.000  0.113  0.387

energy relative to the elements: -0.65 eV per atom
symmetry: No. 127

=====

DFT (GGA-PBEsol) results for crystalline ErZrSb at its relaxed geometry.

Unit cell a=4.193 b=4.193 c=8.680 alpha=103.98 beta=103.98 gamma=90.00
Positions (direct):
Sb  0.865  0.865  0.731
Sb  0.135  0.135  0.269
Zr  0.500  0.000  0.000
Zr  0.000  0.500  0.000
Er  0.677  0.677  0.354
Er  0.323  0.323  0.646

formation energy from raw total energies: -0.836 eV per atom
symmetry: No. 139

=====

Q: What is the formula in the first record?
A: Co3OF5